1.
DFT (meta-GGA SCAN) results for a PBEsol-optimized structure of Te2IrSe.

a = 3.802 Å, b = 5.118 Å, c = 5.118 Å
α = 63.79°, β = 90.00°, γ = 90.00°
Fractional positions:
Te (0.000, 0.000, 0.000)
Te (0.500, 0.300, 0.300)
Ir (0.500, 0.794, 0.794)
Se (0.000, 0.605, 0.605)

DOS(E_F) = 1.7 states/eV per cell
Energy = -166.2 eV/cell
V = 89 Å³/f.u.
Magnetic moment = 0.0 μB per formula unit
Formation energy from raw total energies = -0.53 eV/f.u.
SG = Amm2 (38)


2.
DFT (meta-GGA SCAN) results for a PBEsol-optimized structure of La2PRu.

a = 3.155 Å, b = 3.155 Å, c = 8.874 Å
α = 90.00°, β = 90.00°, γ = 90.00°
Fractional positions:
La (0.000, 0.000, 0.000)
La (0.500, 0.500, 0.391)
P (0.000, 0.000, 0.633)
Ru (0.500, 0.500, 0.745)

DOS(E_F) = 3.4 states/eV per cell
Energy = -132.8 eV/cell
V = 88 Å³/f.u.
Magnetic moment = 0.8 μB per formula unit
E_form = -0.34 eV per atom
SG = P4mm (99)


3.
DFT (meta-GGA SCAN) results for a PBEsol-optimized structure of HgWAu2.

a = 4.146 Å, b = 4.146 Å, c = 4.048 Å
α = 90.00°, β = 90.00°, γ = 90.00°
Fractional positions:
Hg (0.000, 0.000, 0.000)
W (0.500, 0.500, 0.000)
Au (0.000, 0.500, 0.500)
Au (0.500, 0.000, 0.500)

DOS(E_F) = 4.0 states/eV per cell
Energy = -273.2 eV/cell
V = 70 Å³/f.u.
Magnetic moment = 0.0 μB per formula unit
E_form = 0.74 eV per atom
SG = P4/mmm (123)


4.
DFT (meta-GGA SCAN) results for a PBEsol-optimized structure of TbGe2Pt.

a = 9.454 Å, b = 9.454 Å, c = 9.454 Å
α = 153.72°, β = 125.41°, γ = 61.57°
Fractional positions:
Tb (0.202, 0.202, 0.000)
Tb (0.236, 0.000, 0.236)
Tb (0.764, 0.000, 0.764)
Tb (0.798, 0.798, 0.000)
Ge (0.074, 0.574, 0.500)
Ge (0.150, 0.800, 0.350)
Ge (0.426, 0.426, 0.000)
Ge (0.450, 0.800, 0.650)
Ge (0.550, 0.200, 0.350)
Ge (0.574, 0.574, 0.000)
Ge (0.850, 0.200, 0.650)
Ge (0.926, 0.426, 0.500)
Pt (0.102, 0.352, 0.751)
Pt (0.399, 0.648, 0.751)
Pt (0.601, 0.352, 0.249)
Pt (0.898, 0.648, 0.249)

DOS(E_F) = 4.2 states/eV per cell
Energy = -637.6 eV/cell
V = 76 Å³/f.u.
Magnetic moment = 0.0 μB per formula unit
E_form = -1.07 eV per atom
SG = Immm (71)